Density functional theory data (PBE) for a geometry-optimized UNb2Au structure.

extended XYZ file:
```
4
Lattice="4.7180 0.0000 0.0000 0.0000 4.7180 0.0000 0.0000 0.0000 3.3963" Properties=species:S:1:pos:R:3 pbc="T T T"
U 0.0000 0.0000 0.0000
Nb 0.0000 2.3590 1.6982
Nb 2.3590 0.0000 1.6982
Au 2.3590 2.3590 0.0000
```

As for the symmetry: P4/mmm. The value obtained for the relative energy among the computed polymorphs is 0 meV/atom.

***

Density functional theory data (PBE) for a geometry-optimized NbVAu structure.

extended XYZ file:
```
12
Lattice="4.4872 0.0000 0.0000 0.0000 3.4054 0.0000 -0.0353 0.0000 13.0508" Properties=species:S:1:pos:R:3 pbc="T T T"
Nb 1.1037 0.0000 3.5368
Nb 1.1046 1.7027 9.5141
Nb 3.3473 1.7027 3.5368
Nb 3.3483 0.0000 9.5141
V 1.1038 1.7027 5.6012
V 1.1045 0.0000 7.4496
V 3.3475 0.0000 5.6012
V 3.3481 1.7027 7.4496
Au 1.1154 1.7027 1.2203
Au 1.0929 0.0000 11.8305
Au 3.3590 0.0000 1.2203
Au 3.3366 1.7027 11.8305
```

As for the symmetry: C2/m. The value obtained for the relative energy among the computed polymorphs is 14 meV/atom.

***

Density functional theory data (PBE) for a geometry-optimized Nb2VAu structure.

extended XYZ file:
```
8
Lattice="2.7851 0.0000 0.0000 0.0081 4.6318 0.0000 1.0737 -0.0003 10.5957" Properties=species:S:1:pos:R:3 pbc="T T T"
Nb 0.5537 1.1557 3.2806
Nb 1.4794 3.4731 4.5217
Nb 2.3874 1.1584 6.0740
Nb 3.3131 3.4757 7.3150
V 1.2828 1.1609 8.6606
V 2.5840 3.4706 1.9351
Au 2.2167 3.4742 9.8696
Au 1.6501 1.1573 0.7260
```

As for the symmetry: P-1. The value obtained for the relative energy among the computed polymorphs is 47 meV/atom.

***

Density functional theory data (PBE) for a geometry-optimized NbVAu structure.

extended XYZ file:
```
6
Lattice="3.3192 0.0000 0.0000 0.0000 3.3192 0.0000 0.0000 0.0000 9.2035" Properties=species:S:1:pos:R:3 pbc="T T T"
Nb 0.0000 0.0000 0.0000
Nb 1.6596 1.6596 4.6018
V 0.0000 0.0000 5.9457
V 1.6596 1.6596 1.3439
Au 0.0000 0.0000 2.9259
Au 1.6596 1.6596 7.5276
```

As for the symmetry: I4mm. The value obtained for the relative energy among the computed polymorphs is 121 meV/atom.

***

Density functional theory data (PBE) for a geometry-optimized NbVAu structure.

extended XYZ file:
```
6
Lattice="2.7986 0.0000 0.0000 -1.2707 5.3060 0.0000 -1.3098 -1.1223 6.6923" Properties=species:S:1:pos:R:3 pbc="T T T"
Nb -0.0474 0.1313 2.2248
Nb 0.2656 4.0525 4.4675
V -0.8152 2.7088 2.3714
V 1.0333 1.4750 4.3209
Au 0.2588 3.9167 0.1052
Au -0.0407 0.2670 6.5871
```

As for the symmetry: P-1. The value obtained for the relative energy among the computed polymorphs is 0 meV/atom.

***

Density functional theory data (PBE) for a geometry-optimized NbVAu2 structure.

extended XYZ file:
```
4
Lattice="3.9879 0.0000 0.0000 0.0000 3.9879 0.0000 0.0000 0.0000 4.2306" Properties=species:S:1:pos:R:3 pbc="T T T"
Nb 0.0000 0.0000 0.0000
V 1.9939 1.9939 0.0000
Au 0.0000 1.9939 2.1153
Au 1.9939 0.0000 2.1153
```

As for the symmetry: P4/mmm. The value obtained for the relative energy among the computed polymorphs is 0 meV/atom.

***

Density functional theory data (PBE) for a geometry-optimized NbV3Au structure.

extended XYZ file:
```
5
Lattice="4.5781 0.0000 0.0000 0.0000 4.5781 0.0000 0.0000 0.0000 4.5781" Properties=species:S:1:pos:R:3 pbc="T T T"
Nb 0.0000 0.0000 0.0000
V 0.0000 0.0000 2.2890
V 0.0000 2.2890 0.0000
V 2.2890 0.0000 0.0000
Au 2.2890 2.2890 2.2890
```

As for the symmetry: Pm-3m. The value obtained for the relative energy among the computed polymorphs is 0 meV/atom.

***

Density functional theory data (PBE) for a geometry-optimized NbVAu structure.

extended XYZ file:
```
12
Lattice="3.4897 0.0000 0.0000 0.0000 4.2839 0.0000 0.0000 0.0000 13.2703" Properties=species:S:1:pos:R:3 pbc="T T T"
Nb 0.0000 0.0000 0.0000
Nb 0.0000 2.1419 6.6351
Nb 1.7448 0.0000 6.6351
Nb 1.7448 2.1419 0.0000
V 0.0000 0.0000 4.5267
V 0.0000 2.1419 11.1618
V 1.7448 0.0000 11.1618
V 1.7448 2.1419 4.5267
Au 0.0000 0.0000 9.0075
Au 0.0000 2.1419 2.3723
Au 1.7448 0.0000 2.3723
Au 1.7448 2.1419 9.0075
```

As for the symmetry: Fmm2. The value obtained for the relative energy among the computed polymorphs is 14 meV/atom.

***

What is the relative energy among the computed polymorphs in the eighth record?
14 meV/atom

***

Which value of relative energy among the computed polymorphs does entry 7 give?
0 meV/atom